Entry from Alexandria via LeMat-Bulk: crystalline SmYNb at its relaxed geometry (PBE).

extended XYZ file:
```
6
Lattice="-3.510 0.218 -0.313 -0.064 -3.192 -1.506 -1.424 -5.647 12.030" Properties=species:S:1:pos:R:3 pbc="T T T"
Nb -1.821 -0.155 0.405
Nb -1.390 -6.980 10.716
Y -2.896 -4.415 9.480
Y -0.315 -2.720 1.641
Sm -0.880 -4.958 6.409
Sm -2.331 -2.176 4.711
```

Calculated values
For the energy relative to the elements, the calculation gives 27 kJ/mol of formula units. The value obtained for the total DFT energy (no corrections) is -6.99 eV/atom.

***

Entry from Alexandria via LeMat-Bulk: crystalline SmNbZn4 at its relaxed geometry (PBE).

extended XYZ file:
```
6
Lattice="5.314 0.000 0.000 2.657 4.602 0.000 2.657 1.534 4.339" Properties=species:S:1:pos:R:3 pbc="T T T"
Sm 2.657 1.534 1.085
Nb 0.000 0.000 0.000
Zn 5.314 3.068 0.525
Zn 6.657 3.844 2.718
Zn 3.971 3.844 2.718
Zn 5.314 1.517 2.718
```

Calculated values
For the energy relative to the elements, the calculation gives -77 kJ/mol of formula units. The value obtained for the total DFT energy (no corrections) is -3.45 eV/atom.

***

Entry from Alexandria via LeMat-Bulk: crystalline Sm2NbZn at its relaxed geometry (PBE).

extended XYZ file:
```
4
Lattice="-0.734 2.954 -1.052 -2.213 1.756 1.545 6.898 5.826 6.616" Properties=species:S:1:pos:R:3 pbc="T T T"
Nb 0.000 0.000 0.000
Sm 4.767 4.675 4.871
Sm -0.816 5.861 2.238
Zn 1.975 5.268 3.555
```

Calculated values
For the energy relative to the elements, the calculation gives 198 kJ/mol of formula units. The value obtained for the total DFT energy (no corrections) is -4.68 eV/atom.

***

Entry from Alexandria via LeMat-Bulk: crystalline SmZrNb4 at its relaxed geometry (PBE).

extended XYZ file:
```
6
Lattice="-0.780 -5.546 -0.804 4.065 -3.107 -2.415 2.911 -3.742 3.087" Properties=species:S:1:pos:R:3 pbc="T T T"
Nb 4.263 -4.973 0.320
Nb 2.416 -5.876 -1.627
Nb 1.839 -6.193 1.126
Nb 3.873 -7.749 -0.082
Sm 1.549 -3.099 -0.033
Zr 0.000 0.000 0.000
```

Calculated values
For the energy relative to the elements, the calculation gives 90 kJ/mol of formula units. The value obtained for the total DFT energy (no corrections) is -8.77 eV/atom.

***

Entry from Alexandria via LeMat-Bulk: crystalline SmZrNb at its relaxed geometry (PBE).

extended XYZ file:
```
6
Lattice="-0.588 4.168 0.423 -3.639 -0.296 -2.137 -4.156 -1.322 7.262" Properties=species:S:1:pos:R:3 pbc="T T T"
Sm -3.299 -0.619 1.516
Sm -2.971 1.232 4.889
Zr -4.999 -1.160 4.487
Zr -1.270 1.773 1.918
Nb -2.114 1.936 -0.857
Nb 0.000 0.000 0.000
```

Calculated values
For the energy relative to the elements, the calculation gives 87 kJ/mol of formula units. The value obtained for the total DFT energy (no corrections) is -7.48 eV/atom.

***

Entry from Alexandria via LeMat-Bulk: crystalline NbSn2 at its relaxed geometry (PBE).

extended XYZ file:
```
3
Lattice="-1.871 -2.365 0.587 2.959 -2.953 -2.473 3.625 0.151 4.156" Properties=species:S:1:pos:R:3 pbc="T T T"
Nb 1.410 -0.642 2.453
Sn -0.028 -0.082 0.065
Sn 1.840 -3.260 1.325
```

Calculated values
For the energy relative to the elements, the calculation gives 18 kJ/mol of formula units. The value obtained for the total DFT energy (no corrections) is -5.96 eV/atom.

***

Entry from Alexandria via LeMat-Bulk: crystalline NbSn at its relaxed geometry (PBE).

extended XYZ file:
```
12
Lattice="-5.351 -3.341 -4.559 5.588 -4.068 -3.578 -0.847 -5.733 5.195" Properties=species:S:1:pos:R:3 pbc="T T T"
Sn 2.159 -6.334 2.107
Sn -1.761 -3.702 1.458
Sn -1.278 -2.687 -3.174
Sn 2.582 -3.467 -0.490
Sn 1.516 -4.721 -4.963
Sn -4.437 -5.372 -0.822
Nb -1.219 -4.539 -5.208
Nb -3.311 -5.970 1.617
Nb 3.768 -5.917 -0.086
Nb 0.974 -3.884 1.703
Nb 1.457 -2.869 -2.929
Nb -2.887 -3.104 -0.981
```

Calculated values
For the energy relative to the elements, the calculation gives 265 kJ/mol of formula units. The value obtained for the total DFT energy (no corrections) is -5.66 eV/atom.

***

Entry from Alexandria via LeMat-Bulk: crystalline Nb4Sn at its relaxed geometry (PBE).

extended XYZ file:
```
5
Lattice="-3.127 -3.289 2.047 3.768 -3.193 0.627 0.899 1.943 4.495" Properties=species:S:1:pos:R:3 pbc="T T T"
Nb 0.000 0.000 0.000
Nb -1.114 -0.673 3.271
Nb 0.320 -3.241 1.337
Nb 2.333 -0.625 2.561
Sn 0.770 -2.270 3.584
```

Calculated values
For the energy relative to the elements, the calculation gives 851 kJ/mol of formula units. The value obtained for the total DFT energy (no corrections) is -7.09 eV/atom.